Below is crystalline TbScNiAg at its relaxed geometry, with properties calculated at the PBE-GGA level.

Cell: 4.8492 4.8492 4.8492 Å, 60.00 60.00 60.00°
Last column: nearest neighbours and their distance in Å.
Fractional coordinates of all 4 atoms:
Sc: 0.2500 0.2500 0.2500  4 Ni 2.97, 4 Ag 2.97
Ni: 0.0000 0.0000 0.0000  4 Tb 2.97, 4 Sc 2.97
Tb: 0.7500 0.7500 0.7500  4 Ni 2.97, 4 Ag 2.97
Ag: 0.5000 0.5000 0.5000  4 Tb 2.97, 4 Sc 2.97

Summary:
The value obtained for the volume is 80.6 Å³ per cell. The calculation puts the formation energy at -292 meV per atom. The total energy comes out at -5.191 eV per atom.